(1)
Below is an optimized crystal structure of LuGaNiPt, with properties calculated at the PBE-GGA level.

DOS(E_F): 0.7161 states/eV per atom
size of the total moment: 0.0000 μB per atom
calculated formation energy: -0.7362 eV per atom

Geometry as CIF:
```
data_LuGaNiPt
_chemical_formula_sum 'Lu4 Ga4 Ni4 Pt4'
_symmetry_space_group_name_H-M 'F -4 3 m'
_symmetry_Int_Tables_number 216
_symmetry_space_group_name_Hall 'F -4 2 3'
_cell_length_a 6.4013
_cell_length_b 6.4013
_cell_length_c 6.4013
_cell_angle_alpha 90.00
_cell_angle_beta 90.00
_cell_angle_gamma 90.00
loop_
_atom_site_label
_atom_site_type_symbol
_atom_site_fract_x
_atom_site_fract_y
_atom_site_fract_z
_atom_site_occupancy
Lu1 Lu 0.0000 0.0000 0.0000 1
Ga1 Ga 0.0000 0.0000 0.5000 1
Ni1 Ni 0.2500 0.2500 0.2500 1
Pt1 Pt 0.2500 0.2500 0.7500 1
```

(2)
Below is an optimized crystal structure of LuPuGaNi, with properties calculated at the PBE-GGA level.

DOS(E_F): 2.4899 states/eV per atom
size of the total moment: 1.2649 μB per atom
calculated formation energy: -0.2653 eV per atom

Geometry as CIF:
```
data_LuPuGaNi
_chemical_formula_sum 'Lu4 Pu4 Ga4 Ni4'
_symmetry_space_group_name_H-M 'F -4 3 m'
_symmetry_Int_Tables_number 216
_symmetry_space_group_name_Hall 'F -4 2 3'
_cell_length_a 6.8966
_cell_length_b 6.8966
_cell_length_c 6.8966
_cell_angle_alpha 90.00
_cell_angle_beta 90.00
_cell_angle_gamma 90.00
loop_
_atom_site_label
_atom_site_type_symbol
_atom_site_fract_x
_atom_site_fract_y
_atom_site_fract_z
_atom_site_occupancy
Lu1 Lu 0.0000 0.0000 0.0000 1
Pu1 Pu 0.0000 0.0000 0.5000 1
Ga1 Ga 0.2500 0.2500 0.7500 1
Ni1 Ni 0.2500 0.2500 0.2500 1
```

(3)
Below is an optimized crystal structure of LuGaNiRh, with properties calculated at the PBE-GGA level.

DOS(E_F): 0.7170 states/eV per atom
size of the total moment: 0.0000 μB per atom
calculated formation energy: -0.6598 eV per atom

Geometry as CIF:
```
data_LuGaNiRh
_chemical_formula_sum 'Lu4 Ga4 Ni4 Rh4'
_symmetry_space_group_name_H-M 'F -4 3 m'
_symmetry_Int_Tables_number 216
_symmetry_space_group_name_Hall 'F -4 2 3'
_cell_length_a 6.3182
_cell_length_b 6.3182
_cell_length_c 6.3182
_cell_angle_alpha 90.00
_cell_angle_beta 90.00
_cell_angle_gamma 90.00
loop_
_atom_site_label
_atom_site_type_symbol
_atom_site_fract_x
_atom_site_fract_y
_atom_site_fract_z
_atom_site_occupancy
Lu1 Lu 0.0000 0.0000 0.0000 1
Ga1 Ga 0.0000 0.0000 0.5000 1
Ni1 Ni 0.2500 0.2500 0.2500 1
Rh1 Rh 0.2500 0.2500 0.7500 1
```

(4)
Below is an optimized crystal structure of LuGaNiRu, with properties calculated at the PBE-GGA level.

DOS(E_F): 0.2734 states/eV per atom
size of the total moment: 0.0000 μB per atom
calculated formation energy: -0.4491 eV per atom

Geometry as CIF:
```
data_LuGaNiRu
_chemical_formula_sum 'Lu4 Ga4 Ni4 Ru4'
_symmetry_space_group_name_H-M 'F -4 3 m'
_symmetry_Int_Tables_number 216
_symmetry_space_group_name_Hall 'F -4 2 3'
_cell_length_a 6.2866
_cell_length_b 6.2866
_cell_length_c 6.2866
_cell_angle_alpha 90.00
_cell_angle_beta 90.00
_cell_angle_gamma 90.00
loop_
_atom_site_label
_atom_site_type_symbol
_atom_site_fract_x
_atom_site_fract_y
_atom_site_fract_z
_atom_site_occupancy
Lu1 Lu 0.0000 0.0000 0.0000 1
Ga1 Ga 0.0000 0.0000 0.5000 1
Ni1 Ni 0.2500 0.2500 0.2500 1
Ru1 Ru 0.2500 0.2500 0.7500 1
```

(5)
Below is an optimized crystal structure of LuZnGaNi, with properties calculated at the PBE-GGA level.

DOS(E_F): 0.5682 states/eV per atom
size of the total moment: 0.0000 μB per atom
calculated formation energy: -0.3827 eV per atom

Geometry as CIF:
```
data_LuZnGaNi
_chemical_formula_sum 'Lu4 Zn4 Ga4 Ni4'
_symmetry_space_group_name_H-M 'F -4 3 m'
_symmetry_Int_Tables_number 216
_symmetry_space_group_name_Hall 'F -4 2 3'
_cell_length_a 6.3615
_cell_length_b 6.3615
_cell_length_c 6.3615
_cell_angle_alpha 90.00
_cell_angle_beta 90.00
_cell_angle_gamma 90.00
loop_
_atom_site_label
_atom_site_type_symbol
_atom_site_fract_x
_atom_site_fract_y
_atom_site_fract_z
_atom_site_occupancy
Lu1 Lu 0.0000 0.0000 0.0000 1
Zn1 Zn 0.2500 0.2500 0.7500 1
Ga1 Ga 0.0000 0.0000 0.5000 1
Ni1 Ni 0.2500 0.2500 0.2500 1
```

(6)
Below is an optimized crystal structure of LuNpGa4, with properties calculated at the PBE-GGA level.

DOS(E_F): 2.0633 states/eV per atom
size of the total moment: 0.7952 μB per atom
calculated formation energy: -0.2507 eV per atom

Geometry as CIF:
```
data_LuNpGa4
_chemical_formula_sum 'Lu4 Np4 Ga16'
_symmetry_space_group_name_H-M 'F -4 3 m'
_symmetry_Int_Tables_number 216
_symmetry_space_group_name_Hall 'F -4 2 3'
_cell_length_a 7.7574
_cell_length_b 7.7574
_cell_length_c 7.7574
_cell_angle_alpha 90.00
_cell_angle_beta 90.00
_cell_angle_gamma 90.00
loop_
_atom_site_label
_atom_site_type_symbol
_atom_site_fract_x
_atom_site_fract_y
_atom_site_fract_z
_atom_site_occupancy
Lu1 Lu 0.0000 0.0000 0.0000 1
Np1 Np 0.2500 0.2500 0.2500 1
Ga1 Ga 0.1248 0.1248 0.6248 1
```

(7)
Below is an optimized crystal structure of Lu2NpGa, with properties calculated at the PBE-GGA level.

DOS(E_F): 2.3512 states/eV per atom
size of the total moment: 1.1341 μB per atom
calculated formation energy: -0.0288 eV per atom

Geometry as CIF:
```
data_Lu2NpGa
_chemical_formula_sum 'Lu2 Np1 Ga1'
_symmetry_space_group_name_H-M 'P 4/m m m'
_symmetry_Int_Tables_number 123
_symmetry_space_group_name_Hall '-P 4 2'
_cell_length_a 3.3261
_cell_length_b 3.3261
_cell_length_c 8.7622
_cell_angle_alpha 90.00
_cell_angle_beta 90.00
_cell_angle_gamma 90.00
loop_
_atom_site_label
_atom_site_type_symbol
_atom_site_fract_x
_atom_site_fract_y
_atom_site_fract_z
_atom_site_occupancy
Lu1 Lu 0.0000 0.0000 0.2172 1
Np1 Np 0.5000 0.5000 0.5000 1
Ga1 Ga 0.5000 0.5000 0.0000 1
```

(8)
Below is an optimized crystal structure of LuGaO3, with properties calculated at the PBE-GGA level.

DOS(E_F): 0.0000 states/eV per atom
energy relative to the elements, uncorrected: -225 kJ/mol of atoms
size of the total moment: 0.0000 μB per atom

Geometry as CIF:
```
data_LuGaO3
_chemical_formula_sum 'Lu1 Ga1 O3'
_symmetry_space_group_name_H-M 'P m -3 m'
_symmetry_Int_Tables_number 221
_symmetry_space_group_name_Hall '-P 4 2 3'
_cell_length_a 3.8035
_cell_length_b 3.8035
_cell_length_c 3.8035
_cell_angle_alpha 90.00
_cell_angle_beta 90.00
_cell_angle_gamma 90.00
loop_
_atom_site_label
_atom_site_type_symbol
_atom_site_fract_x
_atom_site_fract_y
_atom_site_fract_z
_atom_site_occupancy
Lu1 Lu 0.0000 0.0000 0.0000 1
Ga1 Ga 0.5000 0.5000 0.5000 1
O1 O 0.0000 0.5000 0.5000 1
```